No. 1
Entry from Alexandria via LeMat-Bulk: an optimized crystal structure of BaAlRu2 (PBE).

Its raw total energy is -43.8 eV for the cell shown. For the formation energy, the calculation gives 0.574 eV per atom. As for the density of states at the Fermi level: 5.97 states/eV/cell.

It has space group Immm (No. 71), with a = 3.1670 Å, b = 5.6206 Å, c = 8.9340 Å, α = 90.00°, β = 90.00° and γ = 90.00°. The asymmetric unit holds Ba at (0.0000, 0.0000, 0.0000), Al at (0.0000, 0.0000, 0.5000) and Ru at (0.0000, 0.5000, 0.2172).

=====

No. 2
Entry from Alexandria via LeMat-Bulk: an optimized crystal structure of KBaZnO2 (PBE).

Its raw total energy is -42.3 eV for the cell shown. Its energy relative to the elements, uncorrected is -1389 meV/atom. As for the density of states at the Fermi level: 2.41 states/eV/cell.

It has space group P2/c (No. 13), with a = 6.2069 Å, b = 5.9918 Å, c = 7.6562 Å, α = 90.00°, β = 90.03° and γ = 90.00°. The asymmetric unit holds K at (0.0000, 0.0007, 0.2500), Ba at (0.5000, 0.4995, 0.7500), Zn at (0.0000, 0.5000, 0.0000) and O at (0.2464, 0.3295, 0.4995).

=====

No. 3
Entry from Alexandria via LeMat-Bulk: an optimized crystal structure of Cs12Cd3Se5 (PBE).

Its raw total energy is -339.2 eV for the cell shown. Its energy relative to the elements, uncorrected is -599 meV/atom. As for the density of states at the Fermi level: 76.57 states/eV/cell.

It has space group Ia-3d (No. 230), with a = 22.2862 Å, b = 22.2862 Å, c = 22.2862 Å, α = 90.00°, β = 90.00° and γ = 90.00°. The asymmetric unit holds Cs at (0.0357, 0.0586, 0.6428), Cd at (0.0000, 0.2500, 0.1250), Se at (0.0000, 0.0000, 0.0000) and Se at (0.0000, 0.2500, 0.3750).

=====

No. 4
Entry from Alexandria via LeMat-Bulk: an optimized crystal structure of BiTeRhO2 (PBE).

Its raw total energy is -24.3 eV for the cell shown. Its energy relative to the elements, uncorrected is 4 meV/atom. Its relative energy among the computed polymorphs is 0.000 eV per atom. As for the density of states at the Fermi level: 3.91 states/eV/cell.

It has space group P4/mmm (No. 123), with a = 4.0773 Å, b = 4.0773 Å, c = 5.9270 Å, α = 90.00°, β = 90.00° and γ = 90.00°. The asymmetric unit holds Bi at (0.0000, 0.0000, 0.0000), Te at (0.5000, 0.5000, 0.0000), Rh at (0.0000, 0.0000, 0.5000) and O at (0.0000, 0.5000, 0.5000).